(1)
{"formula": "Re2RhCl", "functional": "GGA-PBE", "state": "optimized geometry", "lattice": [[4.9193, -0.0146, -0.0474], [4.1193, 2.6891, -0.0474], [-0.0259, -0.0077, 4.6073]], "species": ["Cl", "Re", "Re", "Rh"], "frac_coords": [[0.2445, 0.2445, 0.3019], [0.0348, 0.0348, 0.9727], [0.7454, 0.7454, 0.7298], [0.4753, 0.4753, 0.4956]]}

(2)
{"formula": "ReRh2Cl", "functional": "GGA-PBE", "state": "optimized geometry", "lattice": [[8.6411, -0.0108, -0.0064], [8.1778, 2.7913, -0.0064], [8.1778, 1.3519, 2.4421]], "species": ["Cl", "Re", "Rh", "Rh"], "frac_coords": [[0.4965, 0.4965, 0.4965], [0.7515, 0.7515, 0.7515], [0.0035, 0.0035, 0.0035], [0.2486, 0.2486, 0.2486]]}

(3)
{"formula": "ReRh2Cl", "functional": "GGA-PBE", "state": "optimized geometry", "lattice": [[3.1079, -2.4390, 1.9912], [-0.9373, -4.1093, 1.3443], [1.7685, -3.4709, -2.0971]], "species": ["Re", "Rh", "Rh", "Cl"], "frac_coords": [[0.5000, 0.5000, 0.5000], [0.2500, 0.2500, 0.2500], [0.7500, 0.7500, 0.7500], [0.0000, 0.0000, 0.0000]]}

Number 1: distance to the lowest polymorph of the same formula 0.420 eV/atom, M_tot 0.0 μB per formula unit. Number 2: distance to the lowest polymorph of the same formula 0.208 eV/atom, M_tot 0.5 μB per formula unit. Number 3: distance to the lowest polymorph of the same formula 0.746 eV/atom, M_tot 0.0 μB per formula unit.